Compound: LiNdHgTe3
Source: OQMD via LeMat-Bulk
Functional: GGA-PBE
Structure: relaxed

Properties
As for the uncorrected energy: -3.565 eV per atom.

Cell and atoms, written as CIF:
```
data_LiNdHgTe3
_chemical_formula_sum 'Li4 Nd4 Hg4 Te12'
_cell_length_a 13.7304
_cell_length_b 4.4124
_cell_length_c 12.8802
_cell_angle_alpha 90.00
_cell_angle_beta 90.00
_cell_angle_gamma 90.00
_space_group_name_H-M_alt 'P n m a'
_space_group_IT_number 62
_space_group_name_Hall '-P 2ac 2n'
loop_
_atom_site_label
_atom_site_fract_x
_atom_site_fract_y
_atom_site_fract_z
Li1 0.1144 0.2500 0.0086
Nd1 0.0576 0.2500 0.6800
Hg1 0.2331 0.2500 0.2871
Te1 0.0661 0.7500 0.8627
Te2 0.0768 0.2500 0.4237
Te3 0.2191 0.7500 0.1393
```